Record 1
DFT (PBE) results for a geometry-optimized RbTe2Au2 structure.

Summary:
Formation energy (no corrections): -158 meV/atom
Fermi-level density of states: 3.2 states/eV/cell
Excess energy over the best structure of this formula in the dataset: 0.189 eV per atom
SG: P4/mbm (127)
V: 135.6 Å³/f.u.

Lattice parameters (Å, degrees): 8.8016 8.8016 3.5014 90.00 90.00 90.00
Element x y z (fractional)
Te  0.2028  0.7028  0.5000
Te  0.7028  0.7972  0.5000
Te  0.7972  0.2972  0.5000
Te  0.2972  0.2028  0.5000
Au  0.3887  0.8887  0.0000
Au  0.8887  0.6113  0.0000
Au  0.6113  0.1113  0.0000
Au  0.1113  0.3887  0.0000
Rb  0.0000  0.0000  0.0000
Rb  0.5000  0.5000  0.0000

=====

Record 2
DFT (PBE) results for a geometry-optimized Hg5Br3N2 structure.

Summary:
Formation energy (no corrections): 432 meV/atom
Fermi-level density of states: 4.9 states/eV/cell
SG: P-1 (2)
V: 306.9 Å³/f.u.

Lattice parameters (Å, degrees): 4.2844 16.7834 19.3203 150.07 96.15 97.61
Element x y z (fractional)
Hg  0.6458  0.4129  0.8773
Hg  0.1536  0.9238  0.3821
Hg  0.3542  0.5871  0.1227
Hg  0.8464  0.0762  0.6179
Hg  0.0664  0.5829  0.7330
Hg  0.9336  0.4171  0.2670
Hg  0.5504  0.4585  0.4023
Hg  0.4496  0.5415  0.5977
Hg  0.0604  0.9627  0.1693
Hg  0.9396  0.0373  0.8307
Br  0.7353  0.6110  0.8823
Br  0.7286  0.8403  0.5685
Br  0.2647  0.3890  0.1177
Br  0.2714  0.1597  0.4315
Br  0.4002  0.9398  0.8409
Br  0.5998  0.0602  0.1591
N  0.8774  0.6293  0.1253
N  0.3749  0.1242  0.6251
N  0.1226  0.3707  0.8747
N  0.6251  0.8758  0.3749

=====

Record 3
DFT (PBE) results for a geometry-optimized TcOs2 structure.

Summary:
Fermi-level density of states: 2.8 states/eV/cell
Excess energy over the best structure of this formula in the dataset: 0.159 eV per atom
Calculated formation energy: 0.09 eV/atom
SG: I4/mmm (139)
V: 43.3 Å³/f.u.

Lattice parameters (Å, degrees): 6.1271 6.1271 6.1271 154.27 154.27 36.71
Element x y z (fractional)
Os  0.0006  0.0006  0.0000
Os  0.6661  0.6661  0.0000
Tc  0.3333  0.3333  0.0000

=====

Record 4
DFT (PBE) results for a geometry-optimized Ta3HgO structure.

Summary:
Formation energy (no corrections): -329 meV/atom
Fermi-level density of states: 3.7 states/eV/cell
Excess energy over the best structure of this formula in the dataset: 0.000 eV per atom
SG: Pm-3m (221)
V: 79.4 Å³/f.u.

Lattice parameters (Å, degrees): 4.2976 4.2976 4.2976 90.00 90.00 90.00
Element x y z (fractional)
Hg  0.5000  0.5000  0.5000
O  0.0000  0.0000  0.0000
Ta  0.0000  0.5000  0.0000
Ta  0.0000  0.0000  0.5000
Ta  0.5000  0.0000  0.0000